The following is a DFT calculation (PBE with a Hubbard U) of a relaxed structure of PaFe2GeO6.

The structure in extended XYZ format:
```
10
Lattice="-4.3837 -3.0029 -1.1549 0.4067 -4.1730 -3.4895 -0.3236 -5.4243 2.1400" Properties=species:S:1:pos:R:3 pbc="T T T"
Pa -3.4144 -8.8603 -2.6147
Fe -2.2536 -6.0789 -1.4677
Fe -0.3882 -5.2419 1.9044
Ge -1.2993 -2.5617 -1.3468
O -2.6134 -4.0234 -0.9289
O -0.6496 -5.9124 -2.9780
O -3.8777 -6.6493 -2.5880
O -1.7526 -8.3866 -1.3065
O -3.2923 -6.7728 0.4149
O -0.6208 -6.1677 -0.0062
```

- VASP energy (eV/atom) = -7.526
- SG = No. 1
- magnetic moment (μB per atom) = 0.72
- N(E_F) (states/eV/f.u.) = 3.3